{"formula": "ScInSnF6", "functional": "GGA-PBE", "state": "relaxed", "lattice_angstrom": [[-2.3223, 5.5469, 0.9499], [-1.7388, 1.6718, 5.5873], [4.8186, 1.8642, 0.9351]], "species": ["F", "F", "F", "F", "F", "F", "Sc", "Sn", "In"], "frac_coords": [[0.9953, 0.5494, 0.7138], [0.4560, 0.9971, 0.7149], [0.1076, 0.2486, 0.3036], [0.5463, 0.4575, 0.7136], [0.2493, 0.6423, 0.3005], [0.6447, 0.1047, 0.3032], [0.3334, 0.3336, 0.5089], [0.6665, 0.6672, 0.4535], [0.0007, 0.9997, 0.9878]], "spacegroup": "P1, No. 1", "raw_formation_energy_ev_per_fu": -25.754}

{"formula": "CsSc2Os", "functional": "GGA-PBE", "state": "relaxed", "lattice_angstrom": [[-4.2973, -2.1619, -1.4508], [-4.0171, 0.1227, 3.0155], [-3.9614, 2.8454, -1.2070]], "species": ["Cs", "Sc", "Sc", "Os"], "frac_coords": [[0.0000, 0.0000, 0.0000], [0.7500, 0.7500, 0.7500], [0.2500, 0.2500, 0.2500], [0.5000, 0.5000, 0.5000]], "e_above_lowest_polymorph_ev_per_atom": 0.540, "spacegroup": "Fm-3m, No. 225", "delta_e_f_mev_per_atom": 807.9}

What is the formula in the first record? ScInSnF6